Here is a geometry-optimized Ac2La3Tm6 structure from the Alexandria database. Energies are from GGA-PBE.

## Properties
ρ	7.85	Mg/m³
energy relative to the elements	194	meV/atom
calculated volume	36.2	A^3/atom

Lattice parameters (Å, degrees): 6.253 6.254 11.946 84.99 79.95 60.00
Atoms (fractional coordinates):
Tm1 0.254 0.000 0.244
Tm2 0.917 0.668 0.244
Tm3 0.586 0.332 0.244
Tm4 0.414 0.668 0.756
Tm5 0.746 0.000 0.756
Tm6 0.083 0.332 0.756
La1 0.335 0.330 0.000
La2 0.665 0.670 0.000
La3 0.000 0.000 0.000
Ac1 0.833 0.334 0.500
Ac2 0.167 0.666 0.500